[1]
Compound: BaLi2MoOs
Source: Alexandria
Functional: PBE-GGA
Structure: optimized geometry

Properties
The formation energy is 15.4 kcal/mol of atoms.

Cell and atoms, written as CIF:
```
data_BaLi2MoOs
_space_group_name_H-M_alt 'P 4/m m m'
_space_group_IT_number 123
_space_group_name_Hall '-P 4 2'
_cell_length_a 5.071
_cell_length_b 5.071
_cell_length_c 4.761
_cell_angle_alpha 90.00
_cell_angle_beta 90.00
_cell_angle_gamma 90.00
loop_
_atom_site_label
_atom_site_fract_x
_atom_site_fract_y
_atom_site_fract_z
_atom_site_occupancy
Ba1 0.000 0.000 0.000 1
Li1 0.000 0.500 0.500 1
Mo1 0.500 0.500 0.000 1
Os1 0.500 0.500 0.500 1
```

[2]
Compound: RbBaLiMo2
Source: Alexandria
Functional: PBE-GGA
Structure: optimized geometry

Properties
The formation energy is 49.5 kcal/mol of atoms.

Cell and atoms, written as CIF:
```
data_RbBaLiMo2
_space_group_name_H-M_alt 'P 4/m m m'
_space_group_IT_number 123
_space_group_name_Hall '-P 4 2'
_cell_length_a 6.137
_cell_length_b 6.137
_cell_length_c 5.046
_cell_angle_alpha 90.00
_cell_angle_beta 90.00
_cell_angle_gamma 90.00
loop_
_atom_site_label
_atom_site_fract_x
_atom_site_fract_y
_atom_site_fract_z
_atom_site_occupancy
Rb1 0.000 0.000 0.000 1
Ba1 0.500 0.500 0.500 1
Li1 0.000 0.000 0.500 1
Mo1 0.000 0.500 0.000 1
```

[3]
Compound: BaLi2MoSe
Source: Alexandria
Functional: PBE-GGA
Structure: optimized geometry

Properties
For the raw formation energy, the calculation gives 37 meV/atom.

Cell and atoms, written as CIF:
```
data_BaLi2MoSe
_space_group_name_H-M_alt 'P 4/m m m'
_space_group_IT_number 123
_space_group_name_Hall '-P 4 2'
_cell_length_a 5.108
_cell_length_b 5.108
_cell_length_c 4.839
_cell_angle_alpha 90.00
_cell_angle_beta 90.00
_cell_angle_gamma 90.00
loop_
_atom_site_label
_atom_site_fract_x
_atom_site_fract_y
_atom_site_fract_z
_atom_site_occupancy
Ba1 0.000 0.000 0.000 1
Li1 0.000 0.500 0.500 1
Mo1 0.500 0.500 0.500 1
Se1 0.500 0.500 0.000 1
```

[4]
Compound: BaLi2TiMo
Source: Alexandria
Functional: PBE-GGA
Structure: optimized geometry

Properties
The formation energy is 17.0 kcal/mol of atoms.

Cell and atoms, written as CIF:
```
data_BaLi2TiMo
_space_group_name_H-M_alt 'P 4/m m m'
_space_group_IT_number 123
_space_group_name_Hall '-P 4 2'
_cell_length_a 5.401
_cell_length_b 5.401
_cell_length_c 4.544
_cell_angle_alpha 90.00
_cell_angle_beta 90.00
_cell_angle_gamma 90.00
loop_
_atom_site_label
_atom_site_fract_x
_atom_site_fract_y
_atom_site_fract_z
_atom_site_occupancy
Ba1 0.000 0.000 0.000 1
Li1 0.000 0.500 0.500 1
Ti1 0.500 0.500 0.500 1
Mo1 0.500 0.500 0.000 1
```

[5]
Compound: Ba2LiMoW
Source: Alexandria
Functional: PBE-GGA
Structure: optimized geometry

Properties
The formation energy is 50.9 kcal/mol of atoms.

Cell and atoms, written as CIF:
```
data_Ba2LiMoW
_space_group_name_H-M_alt 'P 4/m m m'
_space_group_IT_number 123
_space_group_name_Hall '-P 4 2'
_cell_length_a 5.801
_cell_length_b 5.801
_cell_length_c 4.927
_cell_angle_alpha 90.00
_cell_angle_beta 90.00
_cell_angle_gamma 90.00
loop_
_atom_site_label
_atom_site_fract_x
_atom_site_fract_y
_atom_site_fract_z
_atom_site_occupancy
Ba1 0.000 0.500 0.000 1
Li1 0.000 0.000 0.500 1
Mo1 0.500 0.500 0.500 1
W1 0.000 0.000 0.000 1
```

[6]
Compound: BaLiN3
Source: Alexandria
Functional: PBE-GGA
Structure: optimized geometry

Properties
For the raw formation energy, the calculation gives 1229 meV/atom.

Cell and atoms, written as CIF:
```
data_BaLiN3
_space_group_name_H-M_alt 'P m -3 m'
_space_group_IT_number 221
_space_group_name_Hall '-P 4 2 3'
_cell_length_a 4.153
_cell_length_b 4.153
_cell_length_c 4.153
_cell_angle_alpha 90.00
_cell_angle_beta 90.00
_cell_angle_gamma 90.00
loop_
_atom_site_label
_atom_site_fract_x
_atom_site_fract_y
_atom_site_fract_z
_atom_site_occupancy
Ba1 0.000 0.000 0.000 1
Li1 0.500 0.500 0.500 1
N1 0.000 0.500 0.500 1
```

[7]
Compound: BaLiN
Source: Alexandria
Functional: PBE-GGA
Structure: optimized geometry

Properties
For the raw formation energy, the calculation gives -222 meV/atom.

Cell and atoms, written as CIF:
```
data_BaLiN
_space_group_name_H-M_alt 'P 3 m 1'
_space_group_IT_number 156
_cell_length_a 3.8203
_cell_length_b 3.8203
_cell_length_c 4.2966
_cell_angle_alpha 90.00
_cell_angle_beta 90.00
_cell_angle_gamma 120.00
loop_
_space_group_symop_operation_xyz
'x,y,z'
'-y,x-y,z'
'-x+y,-x,z'
'-y,-x,z'
'-x+y,y,z'
'x,x-y,z'
loop_
_atom_site_label
_atom_site_fract_x
_atom_site_fract_y
_atom_site_fract_z
_atom_site_occupancy
Ba1 0.0000 0.0000 0.0000 1
Li1 0.6667 0.3333 0.4604 1
N1 0.3333 0.6667 0.3639 1
```

[8]
Compound: Ba2LiN
Source: Alexandria
Functional: PBE-GGA
Structure: optimized geometry

Properties
For the raw formation energy, the calculation gives -299 meV/atom.

Cell and atoms, written as CIF:
```
data_Ba2LiN
_space_group_name_H-M_alt 'C 1 2/c 1'
_space_group_IT_number 15
_cell_length_a 16.280
_cell_length_b 4.219
_cell_length_c 7.879
_cell_angle_alpha 90.00
_cell_angle_beta 103.98
_cell_angle_gamma 90.00
loop_
_space_group_symop_operation_xyz
'x,y,z'
'-x,-y,-z'
'-x,y,-z+1/2'
'x,-y,z+1/2'
'x+1/2,y+1/2,z'
'-x+1/2,-y+1/2,-z'
'-x+1/2,y+1/2,-z+1/2'
'x+1/2,-y+1/2,z+1/2'
loop_
_atom_site_label
_atom_site_fract_x
_atom_site_fract_y
_atom_site_fract_z
_atom_site_occupancy
Ba1 0.119 0.000 0.059 1
Li1 0.000 0.499 0.250 1
N1 0.000 0.001 0.750 1
```

[9]
Compound: BaLiN
Source: Alexandria
Functional: PBE-GGA
Structure: optimized geometry

Properties
For the raw formation energy, the calculation gives -362 meV/atom.

Cell and atoms, written as CIF:
```
data_BaLiN
_space_group_name_H-M_alt 'P n m a'
_space_group_IT_number 62
_cell_length_a 10.009
_cell_length_b 3.873
_cell_length_c 5.989
_cell_angle_alpha 90.00
_cell_angle_beta 90.00
_cell_angle_gamma 90.00
loop_
_space_group_symop_operation_xyz
'x,y,z'
'-x,-y,-z'
'-x+1/2,-y,z+1/2'
'x+1/2,y,-z+1/2'
'x+1/2,-y+1/2,-z+1/2'
'-x+1/2,y+1/2,z+1/2'
'-x,y+1/2,-z'
'x,-y+1/2,z'
loop_
_atom_site_label
_atom_site_fract_x
_atom_site_fract_y
_atom_site_fract_z
_atom_site_occupancy
Ba1 0.160 0.250 0.020 1
Li1 0.031 0.250 0.577 1
N1 0.078 0.750 0.720 1
```

[10]
Compound: Ba2LiN
Source: Alexandria
Functional: PBE-GGA
Structure: optimized geometry

Properties
For the raw formation energy, the calculation gives -72 meV/atom.

Cell and atoms, written as CIF:
```
data_Ba2LiN
_space_group_name_H-M_alt 'I -4 2 d'
_space_group_IT_number 122
_space_group_name_Hall 'I -4 2bw'
_cell_length_a 8.069
_cell_length_b 8.069
_cell_length_c 9.547
_cell_angle_alpha 90.00
_cell_angle_beta 90.00
_cell_angle_gamma 90.00
loop_
_atom_site_label
_atom_site_fract_x
_atom_site_fract_y
_atom_site_fract_z
_atom_site_occupancy
Ba1 0.139 0.750 0.125 1
Li1 0.000 0.000 0.500 1
N1 0.000 0.000 0.000 1
```

[11]
Compound: BaLiN3
Source: Alexandria
Functional: PBE-GGA
Structure: optimized geometry

Properties
For the raw formation energy, the calculation gives 1996 meV/atom.

Cell and atoms, written as CIF:
```
data_BaLiN3
_space_group_name_H-M_alt 'P m -3 m'
_space_group_IT_number 221
_space_group_name_Hall '-P 4 2 3'
_cell_length_a 4.751
_cell_length_b 4.751
_cell_length_c 4.751
_cell_angle_alpha 90.00
_cell_angle_beta 90.00
_cell_angle_gamma 90.00
loop_
_atom_site_label
_atom_site_fract_x
_atom_site_fract_y
_atom_site_fract_z
_atom_site_occupancy
Ba1 0.000 0.000 0.000 1
Li1 0.500 0.500 0.500 1
N1 0.000 0.000 0.500 1
```

[12]
Compound: BaLiN
Source: Alexandria
Functional: PBE-GGA
Structure: optimized geometry

Properties
For the raw formation energy, the calculation gives -337 meV/atom.

Cell and atoms, written as CIF:
```
data_BaLiN
_space_group_name_H-M_alt 'P n m a'
_space_group_IT_number 62
_cell_length_a 6.378
_cell_length_b 3.765
_cell_length_c 9.625
_cell_angle_alpha 90.00
_cell_angle_beta 90.00
_cell_angle_gamma 90.00
loop_
_space_group_symop_operation_xyz
'x,y,z'
'-x,-y,-z'
'-x+1/2,-y,z+1/2'
'x+1/2,y,-z+1/2'
'x+1/2,-y+1/2,-z+1/2'
'-x+1/2,y+1/2,z+1/2'
'-x,y+1/2,-z'
'x,-y+1/2,z'
loop_
_atom_site_label
_atom_site_fract_x
_atom_site_fract_y
_atom_site_fract_z
_atom_site_occupancy
Ba1 0.049 0.250 0.163 1
Li1 0.089 0.750 0.475 1
N1 0.234 0.250 0.524 1
```

| no. | total energy (eV per atom) |
| --- | --- |
| 1 | -4.89 |
| 2 | -3.15 |
| 3 | -3.98 |
| 4 | -4.16 |
| 5 | -3.70 |
| 6 | -4.53 |
| 7 | -4.28 |
| 8 | -3.82 |
| 9 | -4.42 |
| 10 | -3.59 |
| 11 | -3.77 |
| 12 | -4.39 |